1.
Here is a relaxed structure of Na2Bi2Rh2Pb from Alexandria. Energies are from GGA-PBE.

Cell: 5.075 5.075 8.684 Å, 106.99 106.99 90.00°
Atoms (fractional coordinates):
Na: 0.191 0.191 0.382
Na: 0.809 0.809 0.618
Bi: 0.399 0.399 0.798
Bi: 0.601 0.601 0.202
Rh: 0.000 0.500 0.000
Rh: 0.500 0.000 0.000
Pb: 0.000 0.000 0.000

Formation enthalpy at 0 K = 0.048 eV/atom
Total energy = -4.0680 eV per atom
Crystal system = tetragonal
Total magnetization = 0.00 Bohr magnetons per cell

2.
Here is a relaxed structure of NaBi2PbS4 from Alexandria. Energies are from GGA-PBE.

Cell: 4.134 7.422 7.068 Å, 108.49 90.00 90.00°
Atoms (fractional coordinates):
Na: 0.500 0.500 0.000
Bi: 0.500 0.000 0.500
Bi: 0.000 0.500 0.500
Pb: 0.000 0.000 0.000
S: 0.500 0.257 0.264
S: 0.500 0.743 0.736
S: 0.000 0.243 0.730
S: 0.000 0.757 0.270

Total energy = -4.1695 eV per atom
Crystal system = monoclinic
Total magnetization = 0.00 Bohr magnetons per cell

3.
Here is a relaxed structure of NaBiPbS3 from Alexandria. Energies are from GGA-PBE.

Cell: 4.113 10.283 7.222 Å, 90.36 90.00 90.00°
Atoms (fractional coordinates):
Na: 0.250 0.000 0.751
Na: 0.750 0.000 0.249
Bi: 0.250 0.676 0.085
Bi: 0.750 0.324 0.915
Pb: 0.250 0.323 0.421
Pb: 0.750 0.677 0.579
S: 0.750 0.827 0.924
S: 0.250 0.173 0.076
S: 0.250 0.829 0.405
S: 0.750 0.171 0.595
S: 0.750 0.507 0.230
S: 0.250 0.493 0.770

Total energy = -4.2176 eV per atom
Crystal system = monoclinic
Total magnetization = 0.00 Bohr magnetons per cell

4.
Here is a relaxed structure of Na2Bi2Sb2Pb5 from Alexandria. Energies are from GGA-PBE.

Cell: 5.143 5.143 18.058 Å, 98.19 98.19 90.00°
Atoms (fractional coordinates):
Na: 0.213 0.213 0.425
Na: 0.787 0.787 0.575
Bi: 0.304 0.304 0.608
Bi: 0.696 0.696 0.392
Sb: 0.084 0.084 0.168
Sb: 0.916 0.916 0.832
Pb: 0.000 0.000 0.000
Pb: 0.637 0.137 0.274
Pb: 0.863 0.363 0.726
Pb: 0.137 0.637 0.274
Pb: 0.363 0.863 0.726

Total energy = -3.2895 eV per atom
Crystal system = tetragonal
Total magnetization = 0.00 Bohr magnetons per cell

5.
Here is a relaxed structure of NaBiSbPb from Alexandria. Energies are from GGA-PBE.

Cell: 5.542 5.542 5.542 Å, 60.00 60.00 60.00°
Atoms (fractional coordinates):
Pb: 0.500 0.500 0.500
Sb: 0.250 0.250 0.250
Bi: 0.750 0.750 0.750
Na: 0.000 0.000 0.000

Energy relative to the lowest polymorph listed for this composition = 55 meV per atom
Total energy = -3.2764 eV per atom
Crystal system = cubic
Total magnetization = 0.00 Bohr magnetons per cell

6.
Here is a relaxed structure of NaBiSbPb from Alexandria. Energies are from GGA-PBE.

Cell: 3.322 3.279 11.287 Å, 90.00 98.46 90.00°
Atoms (fractional coordinates):
Na: 0.839 0.500 0.679
Bi: 0.224 0.000 0.448
Sb: 0.445 0.000 0.890
Pb: 0.587 0.000 0.174

Energy relative to the lowest polymorph listed for this composition = 0 meV per atom
Total energy = -3.3312 eV per atom
Crystal system = orthorhombic
Total magnetization = 0.00 Bohr magnetons per cell

7.
Here is a relaxed structure of NaBi2PbSe from Alexandria. Energies are from GGA-PBE.

Cell: 5.630 5.091 5.630 Å, 90.00 90.00 90.00°
Atoms (fractional coordinates):
Pb: 0.500 0.500 0.500
Na: 0.000 0.000 0.000
Bi: 0.000 0.000 0.500
Bi: 0.500 0.000 0.000
Se: 0.000 0.500 0.000

Total energy = -2.8054 eV per atom
Crystal system = tetragonal
Total magnetization = 0.00 Bohr magnetons per cell

8.
Here is a relaxed structure of Na3Bi2PbSe6 from Alexandria. Energies are from GGA-PBE.

Cell: 4.207 8.659 9.636 Å, 105.03 102.61 90.00°
Atoms (fractional coordinates):
Na: 0.500 0.500 0.000
Na: 0.834 0.168 0.668
Na: 0.166 0.832 0.332
Bi: 0.833 0.669 0.666
Bi: 0.167 0.331 0.334
Pb: 0.500 0.000 0.000
Se: 0.334 0.909 0.667
Se: 0.670 0.577 0.340
Se: 0.666 0.091 0.333
Se: 0.003 0.248 0.005
Se: 0.997 0.752 0.995
Se: 0.330 0.423 0.660

Total energy = -3.7278 eV per atom
Crystal system = monoclinic
Total magnetization = 0.00 Bohr magnetons per cell